1.
The following is a PBE calculation of crystalline TlCd2Rh at its relaxed geometry, from the Alexandria database.

Cell: 4.049 4.049 21.064 Å, 90.00 90.00 90.00°
Space group I-42d (No. 122)
Unique sites:
Tl (0.000, 0.000, 0.000) [4 per cell]
Cd (0.235, 0.250, 0.625) [8 per cell]
Rh (0.000, 0.000, 0.500) [4 per cell]

Output
The formation energy is 0.21 eV/atom. As for the electronic total energy: -0.1965 Ry/atom. The offset from the most stable computed form comes out at 0.248 eV per atom.

=====

2.
The following is a PBE calculation of crystalline Tl2CdRh at its relaxed geometry, from the Alexandria database.

Cell: 3.3843 3.3843 28.3538 Å, 90.00 90.00 120.00°
Space group R3m (No. 160, hexagonal axes)
Unique sites:
Tl (0.0000, 0.0000, 0.0000) [3 per cell]
Tl (0.0000, 0.0000, 0.2334) [3 per cell]
Cd (0.0000, 0.0000, 0.4720) [3 per cell]
Rh (0.0000, 0.0000, 0.7363) [3 per cell]

Output
The formation energy is 0.13 eV/atom. As for the electronic total energy: -0.2295 Ry/atom. The offset from the most stable computed form comes out at 0.113 eV per atom.

=====

3.
The following is a PBE calculation of crystalline Tl2CdRh at its relaxed geometry, from the Alexandria database.

Cell: 3.143 3.210 9.275 Å, 90.00 91.06 90.00°
Space group P2/m (No. 10)
Unique sites:
Tl (0.012, 0.000, 0.199) [2 per cell]
Cd (0.000, 0.500, 0.500) [1 per cell]
Rh (0.500, 0.500, 0.000) [1 per cell]

Output
The formation energy is 0.13 eV/atom. As for the electronic total energy: -0.2293 Ry/atom. The offset from the most stable computed form comes out at 0.115 eV per atom.

=====

4.
The following is a PBE calculation of crystalline Tl2Cd2Rh at its relaxed geometry, from the Alexandria database.

Cell: 4.075 4.075 15.287 Å, 90.00 90.00 90.00°
Space group I4/mmm (No. 139)
Unique sites:
Tl (0.000, 0.500, 0.250) [4 per cell]
Cd (0.000, 0.000, 0.087) [4 per cell]
Rh (0.000, 0.000, 0.500) [2 per cell]

Output
The formation energy is 0.54 eV/atom. As for the electronic total energy: -0.1649 Ry/atom. The offset from the most stable computed form comes out at 0.278 eV per atom.

=====

5.
The following is a PBE calculation of crystalline Tl2CdRh2 at its relaxed geometry, from the Alexandria database.

Cell: 4.268 4.268 12.049 Å, 90.00 90.00 90.00°
Space group I4/mmm (No. 139)
Unique sites:
Tl (0.000, 0.500, 0.250) [4 per cell]
Cd (0.000, 0.000, 0.000) [2 per cell]
Rh (0.000, 0.000, 0.396) [4 per cell]

Output
The formation energy is 0.32 eV/atom. As for the electronic total energy: -0.2758 Ry/atom. The offset from the most stable computed form comes out at 0.298 eV per atom.

=====

6.
The following is a PBE calculation of crystalline Tl2CdRh2 at its relaxed geometry, from the Alexandria database.

Cell: 7.224 7.224 3.790 Å, 90.00 90.00 90.00°
Space group P4/mbm (No. 127)
Unique sites:
Tl (0.160, 0.340, 0.000) [4 per cell]
Cd (0.000, 0.000, 0.500) [2 per cell]
Rh (0.141, 0.641, 0.500) [4 per cell]

Output
The formation energy is 0.02 eV/atom. As for the electronic total energy: -0.2977 Ry/atom. The offset from the most stable computed form comes out at 0.000 eV per atom.

=====

7.
The following is a PBE calculation of crystalline Tl2CdRh at its relaxed geometry, from the Alexandria database.

Cell: 3.248 3.248 8.733 Å, 90.00 90.00 90.00°
Space group P4mm (No. 99)
Unique sites:
Tl (0.000, 0.000, 0.000) [1 per cell]
Tl (0.500, 0.500, 0.316) [1 per cell]
Cd (0.000, 0.000, 0.609) [1 per cell]
Rh (0.500, 0.500, 0.799) [1 per cell]

Output
The formation energy is 0.05 eV/atom. As for the electronic total energy: -0.2355 Ry/atom. The offset from the most stable computed form comes out at 0.031 eV per atom.

=====

8.
The following is a PBE calculation of crystalline TlCdRh at its relaxed geometry, from the Alexandria database.

Cell: 4.6445 4.6445 3.1964 Å, 90.00 90.00 120.00°
Space group P3m1 (No. 156)
Unique sites:
Tl (0.0000, 0.0000, 0.0000) [1 per cell]
Cd (0.6667, 0.3333, 0.4225) [1 per cell]
Rh (0.3333, 0.6667, 0.8339) [1 per cell]

Output
The formation energy is 0.14 eV/atom. As for the electronic total energy: -0.2500 Ry/atom. The offset from the most stable computed form comes out at 0.235 eV per atom.

=====

9.
The following is a PBE calculation of crystalline Tl2CdRh at its relaxed geometry, from the Alexandria database.

Cell: 3.4228 3.4228 27.2890 Å, 90.00 90.00 120.00°
Space group R-3m (No. 166, hexagonal axes)
Unique sites:
Tl (0.0000, 0.0000, 0.2396) [6 per cell]
Cd (0.0000, 0.0000, 0.0000) [3 per cell]
Rh (0.0000, 0.0000, 0.5000) [3 per cell]

Output
The formation energy is 0.18 eV/atom. As for the electronic total energy: -0.2259 Ry/atom. The offset from the most stable computed form comes out at 0.162 eV per atom.

=====

10.
The following is a PBE calculation of crystalline TlCd2Rh at its relaxed geometry, from the Alexandria database.

Cell: 4.198 4.221 4.444 Å, 90.00 90.00 90.00°
Space group Pmmm (No. 47)
Unique sites:
Tl (0.000, 0.000, 0.000) [1 per cell]
Cd (0.000, 0.500, 0.500) [1 per cell]
Cd (0.500, 0.000, 0.500) [1 per cell]
Rh (0.500, 0.500, 0.000) [1 per cell]

Output
The formation energy is 0.10 eV/atom. As for the electronic total energy: -0.2051 Ry/atom. The offset from the most stable computed form comes out at 0.131 eV per atom.

=====

11.
The following is a PBE calculation of crystalline TlCd3Rh4 at its relaxed geometry, from the Alexandria database.

Cell: 4.587 4.587 6.498 Å, 90.00 90.00 90.00°
Space group P4/mmm (No. 123)
Unique sites:
Tl (0.000, 0.000, 0.000) [1 per cell]
Cd (0.000, 0.000, 0.500) [1 per cell]
Cd (0.500, 0.500, 0.000) [1 per cell]
Cd (0.500, 0.500, 0.500) [1 per cell]
Rh (0.000, 0.500, 0.250) [4 per cell]

Output
The formation energy is -0.06 eV/atom. As for the electronic total energy: -0.3217 Ry/atom.

=====

12.
The following is a PBE calculation of crystalline TlCd2Rh at its relaxed geometry, from the Alexandria database.

Cell: 4.090 4.127 9.355 Å, 90.00 90.00 90.00°
Space group Immm (No. 71)
Unique sites:
Tl (0.000, 0.000, 0.000) [2 per cell]
Cd (0.000, 0.500, 0.249) [4 per cell]
Rh (0.000, 0.000, 0.500) [2 per cell]

Output
The formation energy is 0.03 eV/atom. As for the electronic total energy: -0.2099 Ry/atom. The offset from the most stable computed form comes out at 0.066 eV per atom.

=====

electronic total energy of number 1 (TlCd2Rh)?
-0.1965 Ry/atom

=====

Please write out number 3 again, unchanged.
The following is a PBE calculation of crystalline Tl2CdRh at its relaxed geometry, from the Alexandria database.

Cell: 3.143 3.210 9.275 Å, 90.00 91.06 90.00°
Space group P2/m (No. 10)
Unique sites:
Tl (0.012, 0.000, 0.199) [2 per cell]
Cd (0.000, 0.500, 0.500) [1 per cell]
Rh (0.500, 0.500, 0.000) [1 per cell]

Output
The formation energy is 0.13 eV/atom. As for the electronic total energy: -0.2293 Ry/atom. The offset from the most stable computed form comes out at 0.115 eV per atom.

=====

What did the sixth record say?
The following is a PBE calculation of crystalline Tl2CdRh2 at its relaxed geometry, from the Alexandria database.

Cell: 7.224 7.224 3.790 Å, 90.00 90.00 90.00°
Space group P4/mbm (No. 127)
Unique sites:
Tl (0.160, 0.340, 0.000) [4 per cell]
Cd (0.000, 0.000, 0.500) [2 per cell]
Rh (0.141, 0.641, 0.500) [4 per cell]

Output
The formation energy is 0.02 eV/atom. As for the electronic total energy: -0.2977 Ry/atom. The offset from the most stable computed form comes out at 0.000 eV per atom.

=====

Which of these has the lowest electronic total energy?
TlCd3Rh4